# Li2NdGa4Ir PBE-GGA optimized geometry
data_Li2NdGa4Ir
_space_group_name_H-M_alt 'R -3 m'
_space_group_IT_number 166
_space_group_name_Hall '-R 3 2"'
_cell_length_a 4.2581
_cell_length_b 4.2581
_cell_length_c 27.1818
_cell_angle_alpha 90.00
_cell_angle_beta 90.00
_cell_angle_gamma 120.00
loop_
_atom_site_label
_atom_site_fract_x
_atom_site_fract_y
_atom_site_fract_z
_atom_site_occupancy
Li1 0.0000 0.0000 0.2285 1
Nd1 0.0000 0.0000 0.0000 1
Ga1 0.0000 0.0000 0.1286 1
Ga2 0.0000 0.0000 0.4043 1
Ir1 0.0000 0.0000 0.5000 1
# DFT total energy: -99.87 eV for the cell shown
# Energy of formation: -466 meV/atom